[1]
This record from the Alexandria database describes a relaxed Zn5Ga crystal. The functional is PBE.

Lattice parameters (Å, degrees): 3.9421 12.0094 3.9579 90.00 90.00 90.00
With the nearest neighbours (Å) after each atom.
Space group Cmmm (No. 65)
Asymmetric unit:
Zn: 0.0000 0.0000 0.0000 (multiplicity 2)  4 Ga 2.79, 8 Zn 2.83-2.84
Zn: 0.0000 0.1696 0.5000 (multiplicity 4)  10 Zn 2.76-2.84, 2 Ga 2.83
Zn: 0.0000 0.3310 0.0000 (multiplicity 4)  10 Zn 2.77-2.83, 2 Ga 2.83
Ga: 0.0000 0.5000 0.5000 (multiplicity 2)  12 Zn 2.79-2.83

**Magnetic moment**: 0.0 μB/f.u.
**Formation energy from the elements**: 0.0350 eV/atom
**Excess energy over the best structure of this formula in the dataset**: 0.066 eV per formula unit

[2]
This record from the Alexandria database describes a relaxed Zn5Ga2 crystal. The functional is PBE.

Lattice parameters (Å, degrees): 2.8961 2.8961 26.9001 90.00 90.00 90.00
With the nearest neighbours (Å) after each atom.
Space group I4/mmm (No. 139)
Asymmetric unit:
Zn: 0.0000 0.0000 0.0000 (multiplicity 2)  12 Zn 2.73-2.90
Zn: 0.0000 0.0000 0.1339 (multiplicity 4)  8 Zn 2.73-2.90, 4 Ga 2.85
Zn: 0.0000 0.0000 0.4331 (multiplicity 4)  12 Zn 2.73-2.90
Ga: 0.0000 0.0000 0.2923 (multiplicity 4)  4 Zn 2.85, 8 Ga 2.90-3.06

**Magnetic moment**: 0.0 μB/f.u.
**Formation energy from the elements**: 0.0336 eV/atom
**Excess energy over the best structure of this formula in the dataset**: 0.000 eV per formula unit

[3]
This record from the Alexandria database describes a relaxed ZnGa crystal. The functional is PBE.

Lattice parameters (Å, degrees): 3.2583 11.0680 6.0872 90.00 90.00 90.00
With the nearest neighbours (Å) after each atom.
Space group Amm2 (No. 38)
Asymmetric unit:
Zn: 0.0000 0.0000 0.0000 (multiplicity 2)  3 Ga 2.47-2.69, 4 Zn 2.72
Zn: 0.5000 0.1170 0.2885 (multiplicity 4)  3 Zn 2.59-2.72, 6 Ga 2.66-2.79
Ga: 0.0000 0.0000 0.5938 (multiplicity 2)  1 Zn 2.47
Ga: 0.0000 0.2429 0.0215 (multiplicity 4)  5 Zn 2.66-2.69, 1 Ga 2.88

**Magnetic moment**: 0.0 μB/f.u.
**Formation energy from the elements**: 0.0718 eV/atom

[4]
This record from the Alexandria database describes a relaxed Zn5Ga7 crystal. The functional is PBE.

Lattice parameters (Å, degrees): 13.0117 2.9066 11.2554 90.00 92.55 90.00
With the nearest neighbours (Å) after each atom.
Space group C2/m (No. 12)
Asymmetric unit:
Zn: 0.0000 0.0000 0.0000 (multiplicity 2)  6 Ga 2.75-3.07, 6 Zn 2.75-2.91
Zn: 0.1435 0.0000 0.6471 (multiplicity 4)  8 Ga 2.65-2.84, 2 Zn 2.91
Zn: 0.1609 0.5000 0.1009 (multiplicity 4)  5 Ga 2.74-2.78, 4 Zn 2.75-2.91
Ga: 0.0000 0.5000 0.5000 (multiplicity 2)  4 Zn 2.84, 6 Ga 2.91-3.09
Ga: 0.0319 0.0000 0.2430 (multiplicity 4)  4 Zn 2.65-2.78, 3 Ga 2.65-2.91
Ga: 0.1619 0.5000 0.8579 (multiplicity 4)  5 Zn 2.74-2.78, 2 Ga 2.91
Ga: 0.1882 0.0000 0.4022 (multiplicity 4)  3 Ga 2.65-2.91, 3 Zn 2.71-2.84

**Magnetic moment**: 0.0 μB/f.u.
**Formation energy from the elements**: 0.0497 eV/atom
**Excess energy over the best structure of this formula in the dataset**: 0.219 eV per formula unit

[5]
This record from the Alexandria database describes a relaxed ZnGa crystal. The functional is PBE.

Lattice parameters (Å, degrees): 2.9585 2.9585 3.9080 90.00 90.00 90.00
With the nearest neighbours (Å) after each atom.
Space group P4/mmm (No. 123)
Asymmetric unit:
Zn: 0.0000 0.0000 0.0000 (multiplicity 1)  8 Ga 2.86, 4 Zn 2.96
Ga: 0.5000 0.5000 0.5000 (multiplicity 1)  8 Zn 2.86, 4 Ga 2.96

**Magnetic moment**: 0.0 μB/f.u.
**Formation energy from the elements**: 0.0488 eV/atom

[6]
This record from the Alexandria database describes a relaxed Zn13Ga3 crystal. The functional is PBE.

Lattice parameters (Å, degrees): 5.1852 9.8844 10.1065 90.00 90.00 90.00
With the nearest neighbours (Å) after each atom.
Space group Amm2 (No. 38)
Asymmetric unit:
Zn: 0.0000 0.0000 0.9998 (multiplicity 2)  8 Zn 2.59-2.78, 2 Ga 2.83
Zn: 0.0000 0.0000 0.4792 (multiplicity 2)  2 Ga 2.59, 6 Zn 2.79-2.80
Zn: 0.0000 0.2440 0.2385 (multiplicity 4)  8 Zn 2.59-2.84, 2 Ga 2.85
Zn: 0.2493 0.2488 0.9887 (multiplicity 8)  9 Zn 2.59-2.85, 1 Ga 2.80
Zn: 0.2497 0.0000 0.2349 (multiplicity 4)  9 Zn 2.59-2.79, 1 Ga 2.81
Zn: 0.5000 0.0000 0.0000 (multiplicity 2)  8 Zn 2.59-2.78, 2 Ga 2.84
Zn: 0.5000 0.2446 0.2382 (multiplicity 4)  8 Zn 2.59-2.85, 2 Ga 2.84
Ga: 0.2498 0.0000 0.7503 (multiplicity 4)  2 Ga 2.59, 6 Zn 2.83-2.85
Ga: 0.5000 0.0000 0.4817 (multiplicity 2)  8 Zn 2.59-2.81

**Magnetic moment**: 0.0 μB/f.u.
**Formation energy from the elements**: 0.0357 eV/atom